# Nd2ZnCo2Ni5 (GGA-PBE, optimized geometry)
data_Nd2ZnCo2Ni5
_chemical_formula_sum 'Nd4 Zn2 Co4 Ni10'
_space_group_name_H-M_alt 'P 4/m b m'
_space_group_IT_number 127
_space_group_name_Hall '-P 4 2ab'
_cell_length_a 8.8641
_cell_length_b 8.8641
_cell_length_c 3.8329
_cell_angle_alpha 90.00
_cell_angle_beta 90.00
_cell_angle_gamma 90.00
loop_
_atom_site_label
_atom_site_type_symbol
_atom_site_fract_x
_atom_site_fract_y
_atom_site_fract_z
Nd1 Nd 0.1850 0.3150 0.0000
Zn1 Zn 0.0000 0.0000 0.0000
Co1 Co 0.1102 0.6102 0.0000
Ni1 Ni 0.0000 0.5000 0.5000
Ni2 Ni 0.0568 0.7914 0.5000
# **Formation energy**: -76.2 meV/atom